The following is a PBE calculation of ScPaBr after structural relaxation, from Alexandria.

Cell: 3.4188 3.4188 46.2300 Å, 90.00 90.00 120.00°
Space group R-3m (No. 166, hexagonal axes)
Asymmetric unit:
Sc: 0.0000 0.0000 0.0847 (multiplicity 6)
Pa: 0.0000 0.0000 0.3616 (multiplicity 6)
Br: 0.0000 0.0000 0.2084 (multiplicity 6)

Values from the calculation:
Uncorrected formation energy   -64.4 kJ per mole of atoms
V   26.00 Å³/atom
D(E_F)   4.4 states/eV/f.u.
Energy   -6.501 eV per atom

The following is a PBE calculation of ScPaBr6 after structural relaxation, from Alexandria.

Cell: 6.8387 13.4971 6.8365 Å, 90.00 109.71 90.00°
Space group C2/m (No. 12)
Asymmetric unit:
Sc: 0.0000 0.0000 0.0000 (multiplicity 2)
Pa: 0.0000 0.5000 0.5000 (multiplicity 2)
Br: 0.2365 0.1457 0.2381 (multiplicity 8)
Br: 0.2465 0.0000 0.7554 (multiplicity 4)

Values from the calculation:
Uncorrected formation energy   -143.1 kJ per mole of atoms
V   37.13 Å³/atom
D(E_F)   2.4 states/eV/f.u.
Energy   -4.717 eV per atom

The following is a PBE calculation of Pa2Se5Br after structural relaxation, from Alexandria.

Cell: 4.3927 8.7415 10.9438 Å, 90.00 90.00 90.00°
Space group Immm (No. 71)
Asymmetric unit:
Pa: 0.0000 0.0000 0.2467 (multiplicity 4)
Se: 0.0000 0.0000 0.0000 (multiplicity 2)
Se: 0.0000 0.3121 0.3404 (multiplicity 8)
Br: 0.0000 0.5000 0.0000 (multiplicity 2)

Values from the calculation:
Uncorrected formation energy   -100.6 kJ per mole of atoms
V   26.26 Å³/atom
D(E_F)   5.7 states/eV/f.u.
Energy   -5.804 eV per atom

The following is a PBE calculation of PaSeBr after structural relaxation, from Alexandria.

Cell: 4.0019 4.0019 7.2061 Å, 90.00 90.00 120.00°
Space group P3m1 (No. 156)
Asymmetric unit:
Pa: 0.0000 0.0000 0.0000 (multiplicity 1)
Se: 0.3333 0.6667 0.7713 (multiplicity 1)
Br: 0.6667 0.3333 0.2674 (multiplicity 1)

Values from the calculation:
Uncorrected formation energy   -114.6 kJ per mole of atoms
V   33.32 Å³/atom
D(E_F)   5.0 states/eV/f.u.
Polymorph energy (0 for the lowest one)   135 meV/atom
Energy   -6.073 eV per atom